No. 1
5
Lattice="4.147 0.000 0.000 0.000 4.147 0.000 0.000 0.000 3.709" Properties=species:S:1:pos:R:3 comment="ScOsN2F SCAN single point on PBEsol structure" volume_a3_per_cell=63.8 mass_density_g_cm3=7.35 sg=P4/mmm e_form_raw_ev_per_atom=0.49 energy_ev_per_atom=-21.159 pbc="T T T"
Sc 0.000 0.000 0.000
Os 2.073 2.073 1.855
N 0.000 2.073 0.000
N 2.073 0.000 0.000
F 0.000 0.000 1.855

No. 2
5
Lattice="4.601 0.000 0.000 0.000 4.601 0.000 0.000 0.000 5.145" Properties=species:S:1:pos:R:3 comment="NaNbPd2I SCAN single point on PBEsol structure" volume_a3_per_cell=108.9 mass_density_g_cm3=6.95 sg=P4/mmm e_form_raw_ev_per_atom=1.30 energy_ev_per_atom=-26.626 pbc="T T T"
Na 0.000 0.000 0.000
Nb 0.000 0.000 2.572
Pd 0.000 2.301 0.000
Pd 2.301 0.000 0.000
I 2.301 2.301 2.572

No. 3
4
Lattice="3.093 0.000 0.000 0.000 4.114 0.000 0.000 0.000 5.883" Properties=species:S:1:pos:R:3 comment="Ag2SbAu SCAN single point on PBEsol structure" volume_a3_per_cell=74.9 mass_density_g_cm3=11.85 sg=Pmmm e_form_raw_ev_per_atom=0.05 energy_ev_per_atom=-42.239 pbc="T T T"
Ag 0.000 0.000 1.391
Ag 0.000 0.000 4.492
Sb 1.547 2.057 2.942
Au 1.547 2.057 0.000

- What is the formula in the second record?
  NaNbPd2I

What did the first record say?
5
Lattice="4.147 0.000 0.000 0.000 4.147 0.000 0.000 0.000 3.709" Properties=species:S:1:pos:R:3 comment="ScOsN2F SCAN single point on PBEsol structure" volume_a3_per_cell=63.8 mass_density_g_cm3=7.35 sg=P4/mmm e_form_raw_ev_per_atom=0.49 energy_ev_per_atom=-21.159 pbc="T T T"
Sc 0.000 0.000 0.000
Os 2.073 2.073 1.855
N 0.000 2.073 0.000
N 2.073 0.000 0.000
F 0.000 0.000 1.855